1.
Li11Fe5O2F22 | PBE with a Hubbard U | optimized geometry

Results
The calculated total energy comes out at -206.31 eV for the cell shown. The value obtained for the density of states at the Fermi level is 0.00 states/eV/f.u.

Cell: 5.2165 8.7874 9.4967 Å, 90.49 90.25 90.12°
Positions (direct):
Li  0.0000  0.0000  0.0000
Li  0.0014  0.9963  0.5869
Li  0.1457  0.4872  0.0888
Li  0.1621  0.1800  0.2775
Li  0.4896  0.4997  0.7794
Li  0.5012  0.1890  0.5872
Li  0.5145  0.1945  0.9919
Li  0.6435  0.6841  0.0846
Li  0.6528  0.6933  0.5036
Li  0.6567  0.0043  0.2775
Li  0.9925  0.6780  0.7872
Fe  0.0141  0.3195  0.7774
Fe  0.1490  0.4768  0.5034
Fe  0.1635  0.8264  0.2765
Fe  0.4909  0.8586  0.7788
Fe  0.6765  0.3503  0.2769
O  0.2887  0.3558  0.6491
O  0.9841  0.3467  0.3787
F  0.0147  0.6761  0.4121
F  0.1503  0.5000  0.8892
F  0.1622  0.1780  0.9082
F  0.1740  0.8439  0.8813
F  0.2993  0.9967  0.1641
F  0.3012  0.6725  0.1526
F  0.3456  0.0040  0.6505
F  0.3501  0.6805  0.6572
F  0.3659  0.3287  0.1516
F  0.4818  0.8373  0.3805
F  0.4899  0.5067  0.4045
F  0.5005  0.1839  0.3848
F  0.6493  0.6865  0.8841
F  0.6524  0.0014  0.9057
F  0.6873  0.3449  0.8745
F  0.7950  0.8337  0.6557
F  0.7998  0.5060  0.1477
F  0.8044  0.1729  0.1570
F  0.8409  0.1723  0.6544
F  0.8546  0.8445  0.1566
F  0.8592  0.5163  0.6470
F  0.9973  0.9896  0.3877

***

2.
CoAsO2F | PBE with a Hubbard U | optimized geometry

Results
The calculated total energy comes out at -24.25 eV for the cell shown. The value obtained for the density of states at the Fermi level is 1.89 states/eV/f.u.

Cell: 3.8548 3.8548 3.8483 Å, 90.00 90.00 90.00°
Positions (direct):
Co  0.0000  0.0000  0.0000
As  0.5000  0.5000  0.5000
O  0.0000  0.5000  0.0000
O  0.5000  0.0000  0.0000
F  0.0000  0.0000  0.5000

***

Look up the calculated total energy of the second one. -24.25 eV for the cell shown